No. 1
# BeAlP | Alexandria | PBE-GGA | optimized geometry
# Density ... 2.5 g/cm³
data_BeAlP
_cell_length_a 5.5978
_cell_length_b 5.5978
_cell_length_c 5.5978
_cell_angle_alpha 90.00
_cell_angle_beta 90.00
_cell_angle_gamma 90.00
_space_group_name_H-M_alt 'F -4 3 m'
_space_group_IT_number 216
_space_group_name_Hall 'F -4 2 3'
loop_
_atom_site_label
_atom_site_fract_x
_atom_site_fract_y
_atom_site_fract_z
_atom_site_occupancy
Be1 0.0000 0.0000 0.0000 1
Al1 0.2500 0.2500 0.7500 1
P1 0.2500 0.2500 0.2500 1

=====

No. 2
# BeAlP | Alexandria | PBE-GGA | optimized geometry
# Density ... 2.8 g/cm³
data_BeAlP
_cell_length_a 8.6198
_cell_length_b 3.1129
_cell_length_c 3.1125
_cell_angle_alpha 90.00
_cell_angle_beta 109.33
_cell_angle_gamma 90.00
_space_group_name_H-M_alt 'C 1 m 1'
_space_group_IT_number 8
_space_group_name_Hall 'C -2y'
loop_
_atom_site_label
_atom_site_fract_x
_atom_site_fract_y
_atom_site_fract_z
_atom_site_occupancy
Be1 0.0000 0.0000 0.0000 1
Al1 0.3055 0.0000 0.2944 1
P1 0.1114 0.5000 0.6099 1

=====

No. 3
# BeAlP2 | Alexandria | PBE-GGA | optimized geometry
# Density ... 3.0 g/cm³
data_BeAlP2
_cell_length_a 6.0179
_cell_length_b 6.0179
_cell_length_c 6.0179
_cell_angle_alpha 90.00
_cell_angle_beta 90.00
_cell_angle_gamma 90.00
_space_group_name_H-M_alt 'F -4 3 m'
_space_group_IT_number 216
_space_group_name_Hall 'F -4 2 3'
loop_
_atom_site_label
_atom_site_fract_x
_atom_site_fract_y
_atom_site_fract_z
_atom_site_occupancy
Be1 0.0000 0.0000 0.0000 1
Al1 0.2500 0.2500 0.7500 1
P1 0.0000 0.0000 0.5000 1
P2 0.2500 0.2500 0.2500 1

=====

no.,energy relative to the elements (eV per atom),energy above the lowest structure with this stoichiometry (eV/f.u.)
1,0.2255,1.06
2,0.2391,1.10
3,0.5448,3.14